# PBE+U Al2CoIO8, optimized geometry
# DFT total energy: -5.96 eV per atom
data_Al2CoIO8
_chemical_formula_sum 'Al4 Co2 I2 O16'
_cell_length_a 6.236
_cell_length_b 6.560
_cell_length_c 5.807
_cell_angle_alpha 90.00
_cell_angle_beta 90.00
_cell_angle_gamma 90.00
_symmetry_space_group_name_H-M 'C m m m'
_symmetry_Int_Tables_number 65
_symmetry_space_group_name_Hall '-C 2 2'
loop_
_atom_site_label
_atom_site_type_symbol
_atom_site_fract_x
_atom_site_fract_y
_atom_site_fract_z
_atom_site_occupancy
Al1 Al 0.000 0.000 0.235 1
Co1 Co 0.000 0.500 0.000 1
I1 I 0.000 0.500 0.500 1
O1 O 0.000 0.309 0.253 1
O2 O 0.189 0.000 0.500 1
O3 O 0.194 0.000 0.000 1